(1)
Below is crystalline Pm2Pr4Dy5 at its relaxed geometry, with properties calculated at the PBE-GGA level.

Results
- Distance to the lowest polymorph of the same formula: 0.156 eV per atom
- Formation enthalpy at 0 K: 2.85 eV/f.u.
- Crystal system: orthorhombic

a = 3.5378 Å, b = 9.3314 Å, c = 12.6370 Å
α = 111.67°, β = 98.05°, γ = 90.00°
Positions (direct):
Pm 0.2693 0.2693 0.5386
Pm 0.7307 0.7307 0.4614
Pr 0.0000 0.2936 0.0000
Pr 0.5962 0.5962 0.1924
Pr 0.0000 0.7064 0.0000
Pr 0.4038 0.4038 0.8076
Dy 0.8543 0.0500 0.7087
Dy 0.8543 0.6586 0.7087
Dy 0.1457 0.3414 0.2913
Dy 0.1457 0.9500 0.2913
Dy 0.5000 0.0000 0.0000

***

(2)
Below is crystalline Dy2PaRu at its relaxed geometry, with properties calculated at the PBE-GGA level.

Results
- Formation enthalpy at 0 K: 0.83 eV/f.u.
- Crystal system: trigonal

a = 3.2669 Å, b = 3.2669 Å, c = 10.8053 Å
α = 81.31°, β = 81.31°, γ = 60.00°
Positions (direct):
Ru 0.5000 0.5000 0.5000
Pa 0.0000 0.0000 0.0000
Dy 0.1018 0.1018 0.6947
Dy 0.8982 0.8982 0.3053

***

(3)
Below is crystalline ZnI3O at its relaxed geometry, with properties calculated at the PBE-GGA level.

Results
- Distance to the lowest polymorph of the same formula: 0.000 eV per atom
- Formation energy without anion corrections: 2.23 eV per formula unit
- Crystal system: cubic

a = 5.1243 Å, b = 5.1243 Å, c = 5.1243 Å
α = 90.00°, β = 90.00°, γ = 90.00°
Positions (direct):
I 0.0000 0.5000 0.0000
I 0.0000 0.0000 0.5000
I 0.5000 0.0000 0.0000
Zn 0.5000 0.5000 0.5000
O 0.0000 0.0000 0.0000

***

(4)
Below is crystalline Pr6DyY2Mg at its relaxed geometry, with properties calculated at the PBE-GGA level.

Results
- Formation enthalpy at 0 K: 0.93 eV/f.u.
- Crystal system: monoclinic

a = 9.7516 Å, b = 8.8765 Å, c = 8.8765 Å
α = 116.40°, β = 84.99°, γ = 84.99°
Positions (direct):
Pr 0.1161 0.0157 0.8013
Pr 0.3839 0.1987 0.9843
Pr 0.8839 0.9843 0.1987
Pr 0.6161 0.8013 0.0157
Pr 0.3156 0.0722 0.5101
Pr 0.1844 0.4899 0.9278
Pr 0.6844 0.9278 0.4899
Pr 0.8156 0.5101 0.0722
Pr 0.0620 0.7475 0.3868
Pr 0.4380 0.6132 0.2525
Pr 0.9380 0.2525 0.6132
Pr 0.5620 0.3868 0.7475
Dy 0.2500 0.9053 0.0947
Dy 0.7500 0.0947 0.9053
Y 0.4463 0.7635 0.6857
Y 0.0537 0.3143 0.2365
Y 0.5537 0.2365 0.3143
Y 0.9463 0.6857 0.7635
Mg 0.2500 0.4716 0.5284
Mg 0.7500 0.5284 0.4716

***

(5)
Below is crystalline CaNiRh2 at its relaxed geometry, with properties calculated at the PBE-GGA level.

Results
- Distance to the lowest polymorph of the same formula: 0.029 eV per atom
- Formation enthalpy at 0 K: 0.13 eV/f.u.
- Crystal system: orthorhombic

a = 2.9610 Å, b = 2.9906 Å, c = 7.3229 Å
α = 90.00°, β = 90.00°, γ = 90.00°
Positions (direct):
Ni 0.5000 0.5000 0.7500
Ca 0.5000 0.5000 0.2500
Rh 0.0000 0.0000 0.9496
Rh 0.0000 0.0000 0.5504

***

(6)
Below is crystalline LiNd4In at its relaxed geometry, with properties calculated at the PBE-GGA level.

Results
- Formation enthalpy at 0 K: 0.60 eV/f.u.
- Crystal system: orthorhombic

a = 5.3218 Å, b = 6.7679 Å, c = 12.0477 Å
α = 90.00°, β = 102.76°, γ = 90.00°
Positions (direct):
Li 0.5607 0.8880 0.1213
Li 0.4393 0.3880 0.8787
Nd 0.8651 0.2819 0.7301
Nd 0.1349 0.7819 0.2699
Nd 0.4249 0.8834 0.8499
Nd 0.5751 0.3834 0.1501
Nd 0.7164 0.5370 0.4328
Nd 0.2836 0.0370 0.5672
Nd 0.6904 0.0454 0.3808
Nd 0.3096 0.5454 0.6192
In 0.8418 0.7977 0.6836
In 0.1582 0.2977 0.3164

***

(7)
Below is crystalline Pm4PrDy2 at its relaxed geometry, with properties calculated at the PBE-GGA level.

Results
- Distance to the lowest polymorph of the same formula: 0.059 eV per atom
- Formation enthalpy at 0 K: 0.82 eV/f.u.
- Crystal system: monoclinic

a = 6.1865 Å, b = 6.6814 Å, c = 11.8657 Å
α = 90.00°, β = 105.85°, γ = 90.00°
Positions (direct):
Pm 0.6462 0.4975 0.2875
Pm 0.0015 0.7500 0.8481
Pm 0.9985 0.2500 0.1519
Pm 0.6462 0.0025 0.2875
Pm 0.8540 0.2500 0.5616
Pm 0.3538 0.9975 0.7125
Pm 0.3538 0.5025 0.7125
Pm 0.1460 0.7500 0.4384
Pr 0.1639 0.7500 0.1502
Pr 0.8361 0.2500 0.8498
Dy 0.5973 0.7500 0.9996
Dy 0.4027 0.2500 0.0004
Dy 0.2929 0.2500 0.4396
Dy 0.7071 0.7500 0.5604

***

Number 1: total DFT energy (no corrections) -4.4342 eV per atom. Number 2: total DFT energy (no corrections) -6.7873 eV per atom. Number 3: total DFT energy (no corrections) -1.7302 eV per atom. Number 4: total DFT energy (no corrections) -4.6876 eV per atom. Number 5: total DFT energy (no corrections) -5.5888 eV per atom. Number 6: total DFT energy (no corrections) -3.8536 eV per atom. Number 7: total DFT energy (no corrections) -4.5945 eV per atom.